Computed, not measured: a geometry-optimized ErTl3Sb3S8 structure at the PBE level of DFT.

The value obtained for the formation energy (no corrections) is -13.43 kcal/mol of atoms. The crystal system is monoclinic.

The structure belongs to space group C2/m (No. 12); the cell edges are 13.7359, 7.9383 and 8.7250 Å and the angles 90.00°, 121.59° and 90.00°. The asymmetric unit holds Er at (0.0000, 0.0000, 0.0000), Tl at (0.0000, 0.0000, 0.5000), Tl at (0.2500, 0.2500, 0.5000), Sb at (0.0000, 0.5000, 0.0000), Sb at (0.2500, 0.2500, 0.0000), S at (0.0162, 0.2499, 0.7986), S at (0.2337, 0.0000, 0.2014) and S at (0.2366, 0.5000, 0.2100).